An optimized crystal structure of Ho2Si3Rh2. Source: the Alexandria database, functional GGA-PBE.

Volume = 245.06 Å³ per cell
Calculated total energy = -6.704 eV per atom
Space group = Cmcm
Distance to the lowest polymorph of the same formula = 0.0000 eV/atom
Uncorrected formation energy = -6.80 eV/f.u.

Cell and atoms, written as CIF:
```
data_Ho2Si3Rh2
_space_group_name_H-M_alt 'P 1'
_space_group_IT_number 1
_cell_length_a 8.985
_cell_length_b 8.985
_cell_length_c 6.929
_cell_angle_alpha 90.00
_cell_angle_beta 90.00
_cell_angle_gamma 154.02
loop_
_space_group_symop_operation_xyz
'x,y,z'
loop_
_atom_site_label
_atom_site_type_symbol
_atom_site_fract_x
_atom_site_fract_y
_atom_site_fract_z
Ho1 Ho 0.056 0.944 0.750
Ho2 Ho 0.157 0.843 0.250
Ho3 Ho 0.843 0.157 0.750
Ho4 Ho 0.944 0.056 0.250
Si1 Si 0.224 0.776 0.750
Si2 Si 0.439 0.561 0.572
Si3 Si 0.439 0.561 0.928
Si4 Si 0.561 0.439 0.072
Si5 Si 0.561 0.439 0.428
Si6 Si 0.776 0.224 0.250
Rh1 Rh 0.309 0.691 0.048
Rh2 Rh 0.309 0.691 0.452
Rh3 Rh 0.691 0.309 0.548
Rh4 Rh 0.691 0.309 0.952
```


An optimized crystal structure of Nb4VMo3. Source: the Alexandria database, functional GGA-PBE.

Volume = 133.66 Å³ per cell
Calculated total energy = -10.336 eV per atom
Space group = Pmmm
Distance to the lowest polymorph of the same formula = 0.0000 eV/atom
Formation enthalpy at 0 K = -9.60 kJ per mole of atoms

Cell and atoms, written as CIF:
```
data_Nb4VMo3
_space_group_name_H-M_alt 'P 1'
_space_group_IT_number 1
_cell_length_a 3.226
_cell_length_b 4.552
_cell_length_c 9.102
_cell_angle_alpha 90.00
_cell_angle_beta 90.00
_cell_angle_gamma 90.00
loop_
_space_group_symop_operation_xyz
'x,y,z'
loop_
_atom_site_label
_atom_site_type_symbol
_atom_site_fract_x
_atom_site_fract_y
_atom_site_fract_z
Nb1 Nb 0.000 0.000 0.000
Nb2 Nb 0.000 0.000 0.500
Nb3 Nb 0.000 0.500 0.249
Nb4 Nb 0.000 0.500 0.751
V1 V 0.500 0.500 0.000
Mo1 Mo 0.500 0.000 0.246
Mo2 Mo 0.500 0.000 0.754
Mo3 Mo 0.500 0.500 0.500
```


Number 1: density 8.4 Mg/m³. Number 2: density 8.8 Mg/m³.